A plane-wave DFT calculation with PBE+U was carried out for a relaxed Er2TmCo2B2O3 crystal.

Calculated values
E: -68.7 eV for the cell shown

Unit cell a=10.850 b=10.850 c=10.850 alpha=162.10 beta=162.10 gamma=25.42
Positions (direct):
Er 0.362 0.362 0.000
Er 0.638 0.638 0.000
O 0.102 0.102 0.000
O 0.500 0.500 0.000
O 0.898 0.898 0.000
Tm 0.000 0.000 0.000
B 0.208 0.208 0.000
B 0.792 0.792 0.000
Co 0.250 0.750 0.500
Co 0.750 0.250 0.500